[1]
# KBeGa2C

A PBEsol-optimized structure of KBeGa2C (meta-GGA SCAN, Alexandria).

## Properties
- formation enthalpy at 0 K (eV/atom) = 1.2873
- electronic total energy (eV/cell) = -49.04
- DOS(E_F) (states/eV/atom) = 0.426

a = 4.2405 Å, b = 4.2405 Å, c = 6.0848 Å
α = 90.00°, β = 90.00°, γ = 90.00°
Last column: nearest neighbours and their distance in Å.
Fractional positions:
Be 0.0000 0.0000 0.0000  4 Ga 2.12
K 0.0000 0.0000 0.5000  4 C 3.00, 2 Be 3.04
C 0.5000 0.5000 0.5000  4 K 3.00
Ga 0.0000 0.5000 0.0000  2 Be 2.12
Ga 0.5000 0.0000 0.0000  2 Be 2.12


[2]
# Mg2InW

A PBEsol-optimized structure of Mg2InW (meta-GGA SCAN, Alexandria).

## Properties
- formation enthalpy at 0 K (eV/atom) = 0.4207
- electronic total energy (eV/cell) = -111.34
- DOS(E_F) (states/eV/atom) = 0.909

a = 4.0357 Å, b = 4.0357 Å, c = 5.3025 Å
α = 112.37°, β = 112.37°, γ = 90.00°
Last column: nearest neighbours and their distance in Å.
Fractional positions:
In 0.2500 0.7500 0.5000  8 Mg 2.85-3.01, 4 W 3.01
Mg 0.0000 0.0000 0.0000  4 W 2.85, 4 In 3.01, 4 Mg 3.01
Mg 0.7500 0.2500 0.5000  4 In 2.85, 4 W 3.01, 4 Mg 3.01
W 0.5000 0.5000 0.0000  8 Mg 2.85-3.01, 4 In 3.01


[3]
# TiAs2

A PBEsol-optimized structure of TiAs2 (meta-GGA SCAN, Alexandria).

## Properties
- formation enthalpy at 0 K (eV/atom) = -0.7190
- electronic total energy (eV/cell) = -468.54
- DOS(E_F) (states/eV/atom) = 0.189

a = 3.4576 Å, b = 8.8388 Å, c = 13.1079 Å
α = 90.00°, β = 90.00°, γ = 90.00°
Last column: nearest neighbours and their distance in Å.
Fractional positions:
Ti 0.0000 0.6721 0.9930  8 As 2.63-2.67
Ti 0.0000 0.5193 0.2469  8 As 2.59-2.69
Ti 0.0000 0.4807 0.7531  8 As 2.59-2.69
Ti 0.5000 0.8279 0.4930  8 As 2.63-2.67
Ti 0.5000 0.9807 0.7469  8 As 2.59-2.69
Ti 0.5000 0.1721 0.5070  8 As 2.63-2.67
Ti 0.5000 0.0193 0.2531  8 As 2.59-2.69
Ti 0.0000 0.3279 0.0070  8 As 2.63-2.67
As 0.5000 0.4887 0.8998  6 Ti 2.59-2.67, 1 As 2.64
As 0.5000 0.7265 0.3017  4 Ti 2.62-2.67, 4 As 2.71
As 0.0000 0.0113 0.3998  6 Ti 2.59-2.67, 1 As 2.64
As 0.0000 0.7735 0.8017  4 Ti 2.62-2.67, 4 As 2.71
As 0.5000 0.1143 0.0583  3 As 2.53-2.71, 3 Ti 2.65-2.69
As 0.5000 0.3361 0.3395  3 Ti 2.63-2.66, 2 As 2.71
As 0.5000 0.6639 0.6605  3 Ti 2.63-2.66, 2 As 2.71
As 0.0000 0.1639 0.8395  3 Ti 2.63-2.66, 2 As 2.71
As 0.0000 0.6143 0.4417  3 As 2.53-2.71, 3 Ti 2.65-2.69
As 0.0000 0.3857 0.5583  3 As 2.53-2.71, 3 Ti 2.65-2.69
As 0.0000 0.2265 0.1983  4 Ti 2.62-2.67, 4 As 2.71
As 0.0000 0.9887 0.6002  6 Ti 2.59-2.67, 1 As 2.64
As 0.5000 0.2735 0.6983  4 Ti 2.62-2.67, 4 As 2.71
As 0.5000 0.5113 0.1002  6 Ti 2.59-2.67, 1 As 2.64
As 0.0000 0.8361 0.1605  3 Ti 2.63-2.66, 2 As 2.71
As 0.5000 0.8857 0.9417  3 As 2.53-2.71, 3 Ti 2.65-2.69